Entry 1:
Nd7Sm3Th: relaxed, GGA-PBE.

Lattice parameters (Å, degrees): 10.1340 10.1340 11.4430 90.00 90.00 41.21
Last column: nearest neighbours and their distance in Å.
Fractional coordinates of all 22 atoms:
Nd  0.0952  0.5855  0.5306  4 Nd 3.50-3.70, 3 Sm 3.51-3.55, 1 Th 3.51
Nd  0.0952  0.5855  0.9694  4 Nd 3.50-3.70, 3 Sm 3.51-3.55, 1 Th 3.51
Nd  0.1812  0.6452  0.2500  3 Nd 3.29-3.50, 2 Sm 3.53-3.63
Nd  0.2374  0.7626  0.7500  2 Sm 3.32, 2 Th 3.42
Nd  0.3548  0.8188  0.2500  3 Nd 3.29-3.50, 2 Sm 3.53-3.63
Nd  0.4145  0.9048  0.5306  4 Nd 3.50-3.70, 3 Sm 3.51-3.55, 1 Th 3.51
Nd  0.4145  0.9048  0.9694  4 Nd 3.50-3.70, 3 Sm 3.51-3.55, 1 Th 3.51
Nd  0.5855  0.0952  0.0306  4 Nd 3.50-3.70, 3 Sm 3.51-3.55, 1 Th 3.51
Nd  0.5855  0.0952  0.4694  4 Nd 3.50-3.70, 3 Sm 3.51-3.55, 1 Th 3.51
Nd  0.6452  0.1812  0.7500  3 Nd 3.29-3.50, 2 Sm 3.53-3.63
Nd  0.7626  0.2374  0.2500  2 Sm 3.32, 2 Th 3.42
Nd  0.8188  0.3548  0.7500  3 Nd 3.29-3.50, 2 Sm 3.53-3.63
Nd  0.9048  0.4145  0.0306  4 Nd 3.50-3.70, 3 Sm 3.51-3.55, 1 Th 3.51
Nd  0.9048  0.4145  0.4694  4 Nd 3.50-3.70, 3 Sm 3.51-3.55, 1 Th 3.51
Sm  0.0000  0.0000  0.0000  6 Nd 3.32-3.55, 2 Th 3.57
Sm  0.0000  0.0000  0.5000  6 Nd 3.32-3.55, 2 Th 3.57
Sm  0.2395  0.2486  0.7500  6 Nd 3.51-3.63, 2 Sm 3.57
Sm  0.2486  0.2395  0.2500  6 Nd 3.51-3.63, 2 Sm 3.57
Sm  0.7514  0.7605  0.7500  6 Nd 3.51-3.63, 2 Sm 3.57
Sm  0.7605  0.7514  0.2500  6 Nd 3.51-3.63, 2 Sm 3.57
Th  0.5000  0.5000  0.0000  10 Nd 3.42-3.69, 2 Sm 3.57
Th  0.5000  0.5000  0.5000  10 Nd 3.42-3.69, 2 Sm 3.57

The density of states at the Fermi level comes out at 1.6816 states/eV/atom. The energy above the most stable polymorph in this dataset comes out at 0 meV per atom. The size of the total moment comes out at 0.00 Bohr magnetons per cell.

Entry 2:
BaGa2Cl8: relaxed, GGA-PBE.

Lattice parameters (Å, degrees): 7.6700 7.6700 7.5199 104.50 104.50 59.72
Last column: nearest neighbours and their distance in Å.
Fractional coordinates of all 11 atoms:
Ba  0.0000  0.0000  0.0000  6 Cl 3.14-3.19
Ga  0.2008  0.2008  0.6860  4 Cl 2.18-2.22
Ga  0.7992  0.7992  0.3140  4 Cl 2.18-2.22
Cl  0.1055  0.6518  0.2297  1 Ga 2.22
Cl  0.1773  0.1773  0.3813  1 Ga 2.22
Cl  0.3482  0.8945  0.7703  1 Ga 2.22
Cl  0.3701  0.3701  0.8164  1 Ga 2.18
Cl  0.6299  0.6299  0.1836  1 Ga 2.18
Cl  0.6518  0.1055  0.2297  1 Ga 2.22
Cl  0.8227  0.8227  0.6187  1 Ga 2.22
Cl  0.8945  0.3482  0.7703  1 Ga 2.22

The density of states at the Fermi level comes out at 0.0000 states/eV/atom. Its uncorrected formation energy is -1.5163 eV per atom. The size of the total moment comes out at 0.00 Bohr magnetons per cell.

Entry 3:
Ho5Mg4Pd: relaxed, GGA-PBE.

Lattice parameters (Å, degrees): 3.6917 3.6917 18.7296 90.00 90.00 90.00
Last column: nearest neighbours and their distance in Å.
Fractional coordinates of all 10 atoms:
Ho  0.0000  0.0000  0.0000  8 Mg 3.25
Ho  0.0000  0.0000  0.2063  8 Mg 3.23-3.24
Ho  0.0000  0.0000  0.4136  4 Pd 3.07, 1 Ho 3.24, 4 Mg 3.28
Ho  0.0000  0.0000  0.5864  4 Pd 3.07, 1 Ho 3.24, 4 Mg 3.28
Ho  0.0000  0.0000  0.7937  8 Mg 3.23-3.24
Mg  0.5000  0.5000  0.1035  8 Ho 3.24-3.25
Mg  0.5000  0.5000  0.3077  8 Ho 3.23-3.28, 1 Pd 3.60
Mg  0.5000  0.5000  0.6923  8 Ho 3.23-3.28, 1 Pd 3.60
Mg  0.5000  0.5000  0.8965  8 Ho 3.24-3.25
Pd  0.5000  0.5000  0.5000  8 Ho 3.07

The density of states at the Fermi level comes out at 1.0154 states/eV/atom. As for the total energy: -36.8 eV per cell. The size of the total moment comes out at 0.00 Bohr magnetons per cell.

Entry 4:
RbHg2Cl2: relaxed, GGA-PBE.

Lattice parameters (Å, degrees): 9.0423 9.0423 5.1908 90.00 90.00 90.00
Last column: nearest neighbours and their distance in Å.
Fractional coordinates of all 10 atoms:
Rb  0.0000  0.0000  0.0000  4 Cl 3.24
Rb  0.5000  0.5000  0.0000  4 Cl 3.24
Hg  0.1104  0.3896  0.5000  1 Hg 2.82, 2 Cl 2.89
Hg  0.3896  0.8896  0.5000  1 Hg 2.82, 2 Cl 2.89
Hg  0.6104  0.1104  0.5000  1 Hg 2.82, 2 Cl 2.89
Hg  0.8896  0.6104  0.5000  1 Hg 2.82, 2 Cl 2.89
Cl  0.2098  0.2902  0.0000  2 Hg 2.89
Cl  0.2902  0.7902  0.0000  2 Hg 2.89
Cl  0.7098  0.2098  0.0000  2 Hg 2.89
Cl  0.7902  0.7098  0.0000  2 Hg 2.89

The density of states at the Fermi level comes out at 0.1732 states/eV/atom. Its uncorrected formation energy is -0.7811 eV per atom. The energy above the most stable polymorph in this dataset comes out at 12 meV per atom. The size of the total moment comes out at 0.00 Bohr magnetons per cell.

Entry 5:
Pm12Co5Pb3: relaxed, GGA-PBE.

Lattice parameters (Å, degrees): 14.7578 14.7578 14.7578 109.47 109.47 109.47
Last column: nearest neighbours and their distance in Å.
Fractional coordinates of all 80 atoms:
Pm  0.0241  0.2016  0.1170  2 Co 2.56-2.72
Pm  0.0241  0.3225  0.9071  2 Co 2.56-2.72
Pm  0.0845  0.7016  0.6775  2 Co 2.56-2.72
Pm  0.0845  0.8830  0.4071  2 Co 2.56-2.72
Pm  0.0929  0.6170  0.4155  2 Co 2.56-2.72
Pm  0.0929  0.9759  0.6775  2 Co 2.56-2.72
Pm  0.1170  0.0241  0.2016  2 Co 2.56-2.72
Pm  0.1170  0.5929  0.9155  2 Co 2.56-2.72
Pm  0.1775  0.2016  0.5845  2 Co 2.56-2.72
Pm  0.1775  0.4759  0.5929  2 Co 2.56-2.72
Pm  0.2016  0.1170  0.0241  2 Co 2.56-2.72
Pm  0.2016  0.5845  0.1775  2 Co 2.56-2.72
Pm  0.2984  0.3225  0.9155  2 Co 2.56-2.72
Pm  0.2984  0.4759  0.3830  2 Co 2.56-2.72
Pm  0.3225  0.9071  0.0241  2 Co 2.56-2.72
Pm  0.3225  0.9155  0.2984  2 Co 2.56-2.72
Pm  0.3830  0.2984  0.4759  2 Co 2.56-2.72
Pm  0.3830  0.5845  0.9071  2 Co 2.56-2.72
Pm  0.4071  0.0845  0.8830  2 Co 2.56-2.72
Pm  0.4071  0.8225  0.5241  2 Co 2.56-2.72
Pm  0.4155  0.0929  0.6170  2 Co 2.56-2.72
Pm  0.4155  0.8225  0.7984  2 Co 2.56-2.72
Pm  0.4759  0.3830  0.2984  2 Co 2.56-2.72
Pm  0.4759  0.5929  0.1775  2 Co 2.56-2.72
Pm  0.5241  0.4071  0.8225  2 Co 2.56-2.72
Pm  0.5241  0.6170  0.7016  2 Co 2.56-2.72
Pm  0.5845  0.1775  0.2016  2 Co 2.56-2.72
Pm  0.5845  0.9071  0.3830  2 Co 2.56-2.72
Pm  0.5929  0.1775  0.4759  2 Co 2.56-2.72
Pm  0.5929  0.9155  0.1170  2 Co 2.56-2.72
Pm  0.6170  0.4155  0.0929  2 Co 2.56-2.72
Pm  0.6170  0.7016  0.5241  2 Co 2.56-2.72
Pm  0.6775  0.0845  0.7016  2 Co 2.56-2.72
Pm  0.6775  0.0929  0.9759  2 Co 2.56-2.72
Pm  0.7016  0.5241  0.6170  2 Co 2.56-2.72
Pm  0.7016  0.6775  0.0845  2 Co 2.56-2.72
Pm  0.7984  0.4155  0.8225  2 Co 2.56-2.72
Pm  0.7984  0.8830  0.9759  2 Co 2.56-2.72
Pm  0.8225  0.5241  0.4071  2 Co 2.56-2.72
Pm  0.8225  0.7984  0.4155  2 Co 2.56-2.72
Pm  0.8830  0.4071  0.0845  2 Co 2.56-2.72
Pm  0.8830  0.9759  0.7984  2 Co 2.56-2.72
Pm  0.9071  0.0241  0.3225  2 Co 2.56-2.72
Pm  0.9071  0.3830  0.5845  2 Co 2.56-2.72
Pm  0.9155  0.1170  0.5929  2 Co 2.56-2.72
Pm  0.9155  0.2984  0.3225  2 Co 2.56-2.72
Pm  0.9759  0.6775  0.0929  2 Co 2.56-2.72
Pm  0.9759  0.7984  0.8830  2 Co 2.56-2.72
Co  0.0000  0.0000  0.0000  6 Pm 2.72
Co  0.0000  0.0000  0.5000  6 Pm 2.72
Co  0.0000  0.5000  0.0000  6 Pm 2.72
Co  0.0000  0.5000  0.5000  6 Pm 2.72
Co  0.1250  0.7500  0.8750  4 Pm 2.56
Co  0.1250  0.8750  0.2500  4 Pm 2.56
Co  0.2500  0.1250  0.8750  4 Pm 2.56
Co  0.2500  0.6250  0.3750  4 Pm 2.56
Co  0.3750  0.2500  0.6250  4 Pm 2.56
Co  0.3750  0.6250  0.7500  4 Pm 2.56
Co  0.5000  0.0000  0.0000  6 Pm 2.72
Co  0.5000  0.0000  0.5000  6 Pm 2.72
Co  0.5000  0.5000  0.0000  6 Pm 2.72
Co  0.5000  0.5000  0.5000  6 Pm 2.72
Co  0.6250  0.3750  0.2500  4 Pm 2.56
Co  0.6250  0.7500  0.3750  4 Pm 2.56
Co  0.7500  0.3750  0.6250  4 Pm 2.56
Co  0.7500  0.8750  0.1250  4 Pm 2.56
Co  0.8750  0.1250  0.7500  4 Pm 2.56
Co  0.8750  0.2500  0.1250  4 Pm 2.56
Pb  0.1250  0.2500  0.3750  8 Pm 3.30-3.40
Pb  0.1250  0.3750  0.7500  8 Pm 3.30-3.40
Pb  0.2500  0.3750  0.1250  8 Pm 3.30-3.40
Pb  0.2500  0.8750  0.6250  8 Pm 3.30-3.40
Pb  0.3750  0.1250  0.2500  8 Pm 3.30-3.40
Pb  0.3750  0.7500  0.1250  8 Pm 3.30-3.40
Pb  0.6250  0.2500  0.8750  8 Pm 3.30-3.40
Pb  0.6250  0.8750  0.7500  8 Pm 3.30-3.40
Pb  0.7500  0.1250  0.3750  8 Pm 3.30-3.40
Pb  0.7500  0.6250  0.8750  8 Pm 3.30-3.40
Pb  0.8750  0.6250  0.2500  8 Pm 3.30-3.40
Pb  0.8750  0.7500  0.6250  8 Pm 3.30-3.40

The density of states at the Fermi level comes out at 0.9761 states/eV/atom. As for the total energy: -412.6 eV per cell. The size of the total moment comes out at 0.00 Bohr magnetons per cell.

Entry 6:
CePdCl6: relaxed, GGA-PBE.

Lattice parameters (Å, degrees): 5.8640 6.8924 7.5379 63.55 68.69 86.78
Last column: nearest neighbours and their distance in Å.
Fractional coordinates of all 8 atoms:
Ce  0.0000  0.0000  0.0000  6 Cl 2.52-2.75
Pd  0.5000  0.5000  0.0000  4 Cl 2.32-2.33
Cl  0.0272  0.8089  0.3631  1 Ce 2.52
Cl  0.2983  0.3799  0.8455  1 Pd 2.33
Cl  0.4141  0.8490  0.8115  1 Pd 2.32
Cl  0.5859  0.1510  0.1885  1 Pd 2.32
Cl  0.7017  0.6201  0.1545  1 Pd 2.33
Cl  0.9728  0.1911  0.6369  1 Ce 2.52

Its uncorrected formation energy is -1.3231 eV per atom. The energy above the most stable polymorph in this dataset comes out at 0 meV per atom. The size of the total moment comes out at 0.15 Bohr magnetons per cell.

Entry 7:
BPbN3: relaxed, GGA-PBE.

Lattice parameters (Å, degrees): 3.5850 3.5850 3.5850 90.00 90.00 90.00
Last column: nearest neighbours and their distance in Å.
Fractional coordinates of all 5 atoms:
B  0.0000  0.0000  0.0000  6 N 1.79
Pb  0.5000  0.5000  0.5000  12 N 2.53
N  0.0000  0.0000  0.5000  2 B 1.79
N  0.0000  0.5000  0.0000  2 B 1.79
N  0.5000  0.0000  0.0000  2 B 1.79

The density of states at the Fermi level comes out at 0.6745 states/eV/atom. Its uncorrected formation energy is 1.6555 eV per atom. The size of the total moment comes out at 0.00 Bohr magnetons per cell.

Entry 8:
SmZn5Ni2Rh: relaxed, GGA-PBE.

Lattice parameters (Å, degrees): 4.6242 4.6242 6.9324 90.00 90.00 90.00
Last column: nearest neighbours and their distance in Å.
Fractional coordinates of all 9 atoms:
Sm  0.0000  0.0000  0.0000  12 Zn 3.13-3.27, 2 Rh 3.47
Zn  0.0000  0.5000  0.3044  2 Ni 2.32
Zn  0.0000  0.5000  0.6956  2 Ni 2.32
Zn  0.5000  0.0000  0.3044  2 Ni 2.32
Zn  0.5000  0.0000  0.6956  2 Ni 2.32
Zn  0.5000  0.5000  0.0000  2 Ni 2.32
Ni  0.5000  0.5000  0.3347  1 Ni 2.29, 5 Zn 2.32
Ni  0.5000  0.5000  0.6653  1 Ni 2.29, 5 Zn 2.32
Rh  0.0000  0.0000  0.5000  8 Zn 2.68

The density of states at the Fermi level comes out at 0.7353 states/eV/atom. As for the total energy: -31.2 eV per cell. The size of the total moment comes out at 0.00 Bohr magnetons per cell.

Entry 9:
Pr7Nd3Y: relaxed, GGA-PBE.

Lattice parameters (Å, degrees): 8.7084 8.7084 8.7084 139.38 97.29 96.55
Last column: nearest neighbours and their distance in Å.
Fractional coordinates of all 11 atoms:
Pr  0.0000  0.0000  0.0000  2 Y 3.02, 2 Nd 3.36
Pr  0.0973  0.3025  0.7948  2 Nd 3.29-3.64, 3 Pr 3.42-3.56
Pr  0.2912  0.7912  0.5000  1 Y 3.38, 2 Nd 3.41, 2 Pr 3.56
Pr  0.4923  0.6975  0.7948  2 Nd 3.29-3.64, 3 Pr 3.42-3.56
Pr  0.5077  0.3025  0.2052  2 Nd 3.29-3.64, 3 Pr 3.42-3.56
Pr  0.7088  0.2088  0.5000  1 Y 3.38, 2 Nd 3.41, 2 Pr 3.56
Pr  0.9027  0.6975  0.2052  2 Nd 3.29-3.64, 3 Pr 3.42-3.56
Nd  0.2916  0.0000  0.2916  5 Pr 3.36-3.64
Nd  0.5000  0.5000  0.0000  4 Pr 3.29
Nd  0.7084  0.0000  0.7084  5 Pr 3.36-3.64
Y  0.0000  0.5000  0.5000  4 Pr 3.02-3.38

The density of states at the Fermi level comes out at 1.4965 states/eV/atom. The energy above the most stable polymorph in this dataset comes out at 0 meV per atom. The size of the total moment comes out at 0.00 Bohr magnetons per cell.

Entry 10:
PmPrSmAl: relaxed, GGA-PBE.

Lattice parameters (Å, degrees): 5.4973 5.4973 5.4973 60.00 60.00 60.00
Last column: nearest neighbours and their distance in Å.
Fractional coordinates of all 4 atoms:
Pm  0.0000  0.0000  0.0000  4 Al 3.37, 4 Sm 3.37
Pr  0.5000  0.5000  0.5000  4 Al 3.37, 4 Sm 3.37
Sm  0.2500  0.2500  0.2500  4 Pr 3.37, 4 Pm 3.37
Al  0.7500  0.7500  0.7500  4 Pm 3.37, 4 Pr 3.37

The density of states at the Fermi level comes out at 1.9130 states/eV/atom. The energy above the most stable polymorph in this dataset comes out at 136 meV per atom. The size of the total moment comes out at 0.01 Bohr magnetons per cell.